Entry from the Alexandria database: a geometry-optimized Li3Pb structure (PBE).

Output
calculated total energy = -0.09609 hartree per atom
distance to the lowest polymorph of the same formula = 68 meV per atom

abc: 4.6193 3.6493 4.6224
angles: 90.00 90.00 90.00
Closest atoms and distances in Å follow each position.
Sites, in units of the cell vectors:
Pb 0.5000 0.0000 0.5832  12 Li 2.94-3.27
Li 0.0000 0.0000 0.0834  8 Li 2.94, 4 Pb 3.27
Li 0.0000 0.5000 0.5833  4 Pb 2.94, 8 Li 2.94-3.27
Li 0.5000 0.5000 0.0834  8 Li 2.94-3.27, 4 Pb 2.94-2.95

---

Entry from the Alexandria database: a geometry-optimized Li3Pb structure (PBE).

Output
calculated total energy = -0.09647 hartree per atom
distance to the lowest polymorph of the same formula = 57 meV per atom

abc: 5.3557 5.3557 5.3557
angles: 90.00 90.00 90.00
Closest atoms and distances in Å follow each position.
Sites, in units of the cell vectors:
Li 0.7500 0.5000 0.0000  2 Li 2.68, 4 Pb 2.99
Li 0.2500 0.5000 0.0000  2 Li 2.68, 4 Pb 2.99
Li 0.0000 0.7500 0.5000  2 Li 2.68, 4 Pb 2.99
Li 0.0000 0.2500 0.5000  2 Li 2.68, 4 Pb 2.99
Li 0.5000 0.0000 0.2500  2 Li 2.68, 4 Pb 2.99
Li 0.5000 0.0000 0.7500  2 Li 2.68, 4 Pb 2.99
Pb 0.0000 0.0000 0.0000  12 Li 2.99
Pb 0.5000 0.5000 0.5000  12 Li 2.99

---

Number 1: E_form -0.252 eV per atom, D(E_F) 1.70 states/eV/cell. Number 2: E_form -0.263 eV per atom, D(E_F) 4.81 states/eV/cell.